i.
! AlPb3O | Alexandria | PBEsol | relaxed; values from VASP
! DOS at the Fermi energy: 1.712 states/eV per cell
! Crystal system: cubic
&SYSTEM
  ibrav = 0, nat = 5, ntyp = 3
/
ATOMIC_SPECIES
Al 26.98 Al.upf
Pb 207.20 Pb.upf
O 16.00 O.upf
CELL_PARAMETERS angstrom
4.9304 0.0000 0.0000
0.0000 4.9304 0.0000
0.0000 0.0000 4.9304
ATOMIC_POSITIONS crystal
Al 0.0000 0.0000 0.0000
Pb 0.0000 0.5000 0.5000
Pb 0.5000 0.0000 0.5000
Pb 0.5000 0.5000 0.0000
O 0.5000 0.5000 0.5000



ii.
! AlPb3O | Alexandria | PBEsol | relaxed; values from VASP
! DOS at the Fermi energy: 2.437 states/eV per cell
! Crystal system: cubic
&SYSTEM
  ibrav = 0, nat = 5, ntyp = 3
/
ATOMIC_SPECIES
Al 26.98 Al.upf
Pb 207.20 Pb.upf
O 16.00 O.upf
CELL_PARAMETERS angstrom
5.2599 0.0000 0.0000
0.0000 5.2599 0.0000
0.0000 0.0000 5.2599
ATOMIC_POSITIONS crystal
Al 0.0000 0.0000 0.0000
Pb 0.0000 0.0000 0.5000
Pb 0.0000 0.5000 0.0000
Pb 0.5000 0.0000 0.0000
O 0.5000 0.5000 0.5000



Stability, lowest: ii



i.
! Al2Se3O12 | Alexandria | PBEsol | relaxed; values from VASP
! DOS at the Fermi energy: 0.000 states/eV per cell
! Crystal system: orthorhombic
&SYSTEM
  ibrav = 0, nat = 68, ntyp = 3
/
ATOMIC_SPECIES
Al 26.98 Al.upf
Se 78.96 Se.upf
O 16.00 O.upf
CELL_PARAMETERS angstrom
11.7782 0.0000 0.0000
0.0000 8.6209 0.0000
0.0000 0.0000 8.6018
ATOMIC_POSITIONS crystal
Al 0.1210 0.2501 0.0405
Al 0.1210 0.7499 0.5405
Al 0.3790 0.2499 0.5405
Al 0.3790 0.7501 0.0405
Al 0.6210 0.2499 0.9595
Al 0.6210 0.7501 0.4595
Al 0.8790 0.2501 0.4595
Al 0.8790 0.7499 0.9595
Se 0.0000 0.0189 0.7500
Se 0.0000 0.9811 0.2500
Se 0.1482 0.4098 0.3762
Se 0.1482 0.5902 0.8762
Se 0.3518 0.0902 0.8762
Se 0.3518 0.9098 0.3762
Se 0.5000 0.4811 0.2500
Se 0.5000 0.5189 0.7500
Se 0.6482 0.0902 0.6238
Se 0.6482 0.9098 0.1238
Se 0.8518 0.4098 0.1238
Se 0.8518 0.5902 0.6238
O 0.0185 0.3495 0.4121
O 0.0185 0.6505 0.9121
O 0.0452 0.1267 0.8939
O 0.0452 0.8733 0.3939
O 0.1074 0.0910 0.1928
O 0.1074 0.9090 0.6928
O 0.1522 0.3983 0.8860
O 0.1522 0.6017 0.3860
O 0.1912 0.3714 0.1968
O 0.1912 0.6286 0.6968
O 0.2319 0.3311 0.5080
O 0.2319 0.6689 0.0080
O 0.2681 0.1689 0.0080
O 0.2681 0.8311 0.5080
O 0.3088 0.1286 0.6968
O 0.3088 0.8714 0.1968
O 0.3478 0.1017 0.3860
O 0.3478 0.8983 0.8860
O 0.3926 0.4090 0.6928
O 0.3926 0.5910 0.1928
O 0.4548 0.3733 0.3939
O 0.4548 0.6267 0.8939
O 0.4815 0.1505 0.9121
O 0.4815 0.8495 0.4121
O 0.5185 0.1505 0.5879
O 0.5185 0.8495 0.0879
O 0.5452 0.3733 0.1061
O 0.5452 0.6267 0.6061
O 0.6074 0.4090 0.8072
O 0.6074 0.5910 0.3072
O 0.6522 0.1017 0.1140
O 0.6522 0.8983 0.6140
O 0.6912 0.1286 0.8032
O 0.6912 0.8714 0.3032
O 0.7319 0.1689 0.4920
O 0.7319 0.8311 0.9920
O 0.7681 0.3311 0.9920
O 0.7681 0.6689 0.4920
O 0.8088 0.3714 0.3032
O 0.8088 0.6286 0.8032
O 0.8478 0.3983 0.6140
O 0.8478 0.6017 0.1140
O 0.8926 0.0910 0.3072
O 0.8926 0.9090 0.8072
O 0.9548 0.1267 0.6061
O 0.9548 0.8733 0.1061
O 0.9815 0.3495 0.0879
O 0.9815 0.6505 0.5879



ii.
! Al2Se3O12 | Alexandria | PBEsol | relaxed; values from VASP
! DOS at the Fermi energy: 0.000 states/eV per cell
! Crystal system: trigonal
&SYSTEM
  ibrav = 0, nat = 34, ntyp = 3
/
ATOMIC_SPECIES
Al 26.98 Al.upf
Se 78.96 Se.upf
O 16.00 O.upf
CELL_PARAMETERS angstrom
4.1641 2.4041 7.4657
-4.1641 2.4041 7.4657
0.0000 -4.8083 7.4657
ATOMIC_POSITIONS crystal
Al 0.1424 0.1424 0.1424
Al 0.3510 0.3510 0.3510
Al 0.6490 0.6490 0.6490
Al 0.8576 0.8576 0.8576
Se 0.0334 0.4618 0.7513
Se 0.2487 0.9666 0.5382
Se 0.4618 0.7513 0.0334
Se 0.5382 0.2487 0.9666
Se 0.7513 0.0334 0.4618
Se 0.9666 0.5382 0.2487
O 0.0140 0.6303 0.7962
O 0.1026 0.8755 0.7572
O 0.1245 0.2428 0.8974
O 0.1833 0.5191 0.2067
O 0.1853 0.4908 0.5226
O 0.2038 0.9860 0.3697
O 0.2067 0.1833 0.5191
O 0.2428 0.8974 0.1245
O 0.3697 0.2038 0.9860
O 0.4774 0.8147 0.5092
O 0.4809 0.7933 0.8167
O 0.4908 0.5226 0.1853
O 0.5092 0.4774 0.8147
O 0.5191 0.2067 0.1833
O 0.5226 0.1853 0.4908
O 0.6303 0.7962 0.0140
O 0.7572 0.1026 0.8755
O 0.7933 0.8167 0.4809
O 0.7962 0.0140 0.6303
O 0.8147 0.5092 0.4774
O 0.8167 0.4809 0.7933
O 0.8755 0.7572 0.1026
O 0.8974 0.1245 0.2428
O 0.9860 0.3697 0.2038



Stability, lowest: i



i.
! AlOsPb | Alexandria | PBEsol | relaxed; values from VASP
! DOS at the Fermi energy: 1.450 states/eV per cell
! Crystal system: cubic
&SYSTEM
  ibrav = 0, nat = 3, ntyp = 3
/
ATOMIC_SPECIES
Al 26.98 Al.upf
Os 190.23 Os.upf
Pb 207.20 Pb.upf
CELL_PARAMETERS angstrom
0.0000 3.0666 3.0666
3.0666 0.0000 3.0666
3.0666 3.0666 0.0000
ATOMIC_POSITIONS crystal
Al 0.0000 0.0000 0.0000
Os 0.7500 0.7500 0.7500
Pb 0.2500 0.2500 0.2500



ii.
! AlOsPb | Alexandria | PBEsol | relaxed; values from VASP
! DOS at the Fermi energy: 3.319 states/eV per cell
! Crystal system: hexagonal
&SYSTEM
  ibrav = 0, nat = 3, ntyp = 3
/
ATOMIC_SPECIES
Al 26.98 Al.upf
Os 190.23 Os.upf
Pb 207.20 Pb.upf
CELL_PARAMETERS angstrom
4.3283 0.0000 0.0000
-2.1642 3.7484 0.0000
0.0000 0.0000 3.4371
ATOMIC_POSITIONS crystal
Al 0.0000 0.0000 0.0000
Os 0.3333 0.6667 0.0000
Pb 0.6667 0.3333 0.5000



iii.
! AlOsPb | Alexandria | PBEsol | relaxed; values from VASP
! DOS at the Fermi energy: 1.787 states/eV per cell
! Crystal system: tetragonal
&SYSTEM
  ibrav = 0, nat = 3, ntyp = 3
/
ATOMIC_SPECIES
Al 26.98 Al.upf
Os 190.23 Os.upf
Pb 207.20 Pb.upf
CELL_PARAMETERS angstrom
-1.5671 1.5671 6.0159
1.5671 -1.5671 6.0159
1.5671 1.5671 -6.0159
ATOMIC_POSITIONS crystal
Al 0.0000 0.0000 0.0000
Os 0.5969 0.5969 0.0000
Pb 0.2609 0.2609 0.0000



Stability, lowest: i



i.
! AlOsSe | Alexandria | PBEsol | relaxed; values from VASP
! DOS at the Fermi energy: 2.095 states/eV per cell
! Crystal system: trigonal
&SYSTEM
  ibrav = 0, nat = 3, ntyp = 3
/
ATOMIC_SPECIES
Al 26.98 Al.upf
Os 190.23 Os.upf
Se 78.96 Se.upf
CELL_PARAMETERS angstrom
3.0742 0.0000 0.0000
-1.5371 2.6623 0.0000
0.0000 0.0000 5.7541
ATOMIC_POSITIONS crystal
Al 0.0000 0.0000 0.0000
Os 0.3333 0.6667 0.6829
Se 0.6667 0.3333 0.3624



ii.
! AlOsSe | Alexandria | PBEsol | relaxed; values from VASP
! DOS at the Fermi energy: 1.591 states/eV per cell
! Crystal system: hexagonal
&SYSTEM
  ibrav = 0, nat = 3, ntyp = 3
/
ATOMIC_SPECIES
Al 26.98 Al.upf
Os 190.23 Os.upf
Se 78.96 Se.upf
CELL_PARAMETERS angstrom
4.2471 0.0000 0.0000
-2.1236 3.6781 0.0000
0.0000 0.0000 2.9477
ATOMIC_POSITIONS crystal
Al 0.0000 0.0000 0.0000
Os 0.6667 0.3333 0.5000
Se 0.3333 0.6667 0.5000



Stability, lowest: ii



i.
! AlOsSe | Alexandria | PBEsol | relaxed; values from VASP
! DOS at the Fermi energy: 2.999 states/eV per cell
! Crystal system: tetragonal
&SYSTEM
  ibrav = 0, nat = 3, ntyp = 3
/
ATOMIC_SPECIES
Al 26.98 Al.upf
Os 190.23 Os.upf
Se 78.96 Se.upf
CELL_PARAMETERS angstrom
-1.4758 1.4758 5.4612
1.4758 -1.4758 5.4612
1.4758 1.4758 -5.4612
ATOMIC_POSITIONS crystal
Al 0.0000 0.0000 0.0000
Os 0.6431 0.6431 0.0000
Se 0.2915 0.2915 0.0000



ii.
! AlOsSe | Alexandria | PBEsol | relaxed; values from VASP
! DOS at the Fermi energy: 2.435 states/eV per cell
! Crystal system: orthorhombic
&SYSTEM
  ibrav = 0, nat = 3, ntyp = 3
/
ATOMIC_SPECIES
Al 26.98 Al.upf
Os 190.23 Os.upf
Se 78.96 Se.upf
CELL_PARAMETERS angstrom
0.0000 2.4378 6.5196
1.4897 0.0000 6.5196
1.4897 2.4378 0.0000
ATOMIC_POSITIONS crystal
Al 0.0000 0.0000 0.0000
Os 0.6518 0.6518 0.3482
Se 0.3173 0.3173 0.6827



Stability, lowest: ii



i.
! Ta2AlOs | Alexandria | PBEsol | relaxed; values from VASP
! DOS at the Fermi energy: 4.891 states/eV per cell
! Crystal system: cubic
&SYSTEM
  ibrav = 0, nat = 4, ntyp = 3
/
ATOMIC_SPECIES
Ta 180.95 Ta.upf
Al 26.98 Al.upf
Os 190.23 Os.upf
CELL_PARAMETERS angstrom
0.0000 3.1570 3.1570
3.1570 0.0000 3.1570
3.1570 3.1570 0.0000
ATOMIC_POSITIONS crystal
Ta 0.0000 0.0000 0.0000
Ta 0.2500 0.2500 0.2500
Al 0.7500 0.7500 0.7500
Os 0.5000 0.5000 0.5000



ii.
! Ta2AlOs | Alexandria | PBEsol | relaxed; values from VASP
! DOS at the Fermi energy: 3.303 states/eV per cell
! Crystal system: orthorhombic
&SYSTEM
  ibrav = 0, nat = 4, ntyp = 3
/
ATOMIC_SPECIES
Ta 180.95 Ta.upf
Al 26.98 Al.upf
Os 190.23 Os.upf
CELL_PARAMETERS angstrom
1.5686 -2.2959 0.0000
1.5686 2.2959 0.0000
0.0000 0.0000 8.9184
ATOMIC_POSITIONS crystal
Ta 0.0000 0.0000 0.2454
Ta 0.0000 0.0000 0.7546
Al 0.5000 0.5000 0.5000
Os 0.5000 0.5000 0.0000



Stability, lowest: ii



i.
! Ta2AlOs | Alexandria | PBEsol | relaxed; values from VASP
! DOS at the Fermi energy: 2.883 states/eV per cell
! Crystal system: orthorhombic
&SYSTEM
  ibrav = 0, nat = 4, ntyp = 3
/
ATOMIC_SPECIES
Ta 180.95 Ta.upf
Al 26.98 Al.upf
Os 190.23 Os.upf
CELL_PARAMETERS angstrom
-1.5968 2.1841 4.5183
1.5968 -2.1841 4.5183
1.5968 2.1841 -4.5183
ATOMIC_POSITIONS crystal
Ta 0.2381 0.2381 0.0000
Ta 0.7619 0.7619 0.0000
Al 0.5000 0.0000 0.5000
Os 0.0000 0.5000 0.5000



ii.
! Ta2AlOs | Alexandria | PBEsol | relaxed; values from VASP
! DOS at the Fermi energy: 2.869 states/eV per cell
! Crystal system: orthorhombic
&SYSTEM
  ibrav = 0, nat = 4, ntyp = 3
/
ATOMIC_SPECIES
Ta 180.95 Ta.upf
Al 26.98 Al.upf
Os 190.23 Os.upf
CELL_PARAMETERS angstrom
1.6182 -2.2992 0.0000
1.6182 2.2992 0.0000
0.0000 0.0000 8.6024
ATOMIC_POSITIONS crystal
Ta 0.0000 0.0000 0.0000
Ta 0.5000 0.5000 0.2653
Al 0.5000 0.5000 0.7403
Os 0.0000 0.0000 0.5095



Stability, lowest: ii



i.
! Al3P | Alexandria | PBEsol | relaxed; values from VASP
! DOS at the Fermi energy: 1.674 states/eV per cell
! Crystal system: tetragonal
&SYSTEM
  ibrav = 0, nat = 4, ntyp = 2
/
ATOMIC_SPECIES
Al 26.98 Al.upf
P 30.97 P.upf
CELL_PARAMETERS angstrom
3.1792 0.0000 0.0000
0.0000 3.1792 0.0000
0.0000 0.0000 6.2541
ATOMIC_POSITIONS crystal
Al 0.0000 0.0000 0.0000
Al 0.5000 0.5000 0.2833
Al 0.5000 0.5000 0.7167
P 0.0000 0.0000 0.5000



ii.
! Al3P | Alexandria | PBEsol | relaxed; values from VASP
! DOS at the Fermi energy: 1.987 states/eV per cell
! Crystal system: orthorhombic
&SYSTEM
  ibrav = 0, nat = 4, ntyp = 2
/
ATOMIC_SPECIES
Al 26.98 Al.upf
P 30.97 P.upf
CELL_PARAMETERS angstrom
2.9537 0.0000 0.0000
0.0000 4.8300 0.0000
0.0000 0.0000 4.4724
ATOMIC_POSITIONS crystal
Al 0.0000 0.0000 0.0000
Al 0.0000 0.5000 0.2933
Al 0.5000 0.0000 0.5021
P 0.5000 0.5000 0.7669



iii.
! Al3P | Alexandria | PBEsol | relaxed; values from VASP
! DOS at the Fermi energy: 1.223 states/eV per cell
! Crystal system: hexagonal
&SYSTEM
  ibrav = 0, nat = 4, ntyp = 2
/
ATOMIC_SPECIES
Al 26.98 Al.upf
P 30.97 P.upf
CELL_PARAMETERS angstrom
3.4346 0.0000 0.0000
-1.7173 2.9745 0.0000
0.0000 0.0000 7.0229
ATOMIC_POSITIONS crystal
Al 0.0000 0.0000 0.0000
Al 0.6667 0.3333 0.2918
Al 0.6667 0.3333 0.7082
P 0.0000 0.0000 0.5000



Stability, lowest: ii